Record 1
# HfZr2PbS

A geometry-optimized HfZr2PbS structure (PBE-GGA, Alexandria).

POSCAR file:
```
HfZr2PbS
1.0
4.903 0.000 0.000
0.000 4.903 0.000
0.000 0.000 4.745
Hf Zr Pb S
1 2 1 1
direct
0.000 0.000 0.000
0.000 0.500 0.500
0.500 0.000 0.500
0.500 0.500 0.000
0.000 0.000 0.500
```

Computed properties:
**DOS at the Fermi energy**: 4.8 states/eV per cell
**Total DFT energy (no corrections)**: -7.35 eV per atom

Record 2
# Hf2Sb2Pb

A geometry-optimized Hf2Sb2Pb structure (PBE-GGA, Alexandria).

POSCAR file:
```
Hf2Sb2Pb
1.0
8.331 0.000 0.000
0.000 8.331 0.000
0.000 0.000 3.638
Hf Sb Pb
4 4 2
direct
0.134 0.366 0.000
0.366 0.866 0.000
0.634 0.134 0.000
0.866 0.634 0.000
0.151 0.651 0.500
0.349 0.151 0.500
0.651 0.849 0.500
0.849 0.349 0.500
0.000 0.000 0.500
0.500 0.500 0.500
```

Computed properties:
**DOS at the Fermi energy**: 4.2 states/eV per cell
**Polymorph energy (0 for the lowest one)**: 3.63 kcal/mol of atoms
**Total DFT energy (no corrections)**: -6.48 eV per atom

Record 3
# Hf2SbPb

A geometry-optimized Hf2SbPb structure (PBE-GGA, Alexandria).

POSCAR file:
```
Hf2SbPb
1.0
2.056 1.187 6.950
-2.056 1.187 6.950
0.000 -2.375 6.950
Hf Sb Pb
2 1 1
direct
0.000 0.000 0.000
0.174 0.174 0.174
0.590 0.590 0.590
0.419 0.419 0.419
```

Computed properties:
**DOS at the Fermi energy**: 3.0 states/eV per cell
**Polymorph energy (0 for the lowest one)**: 0.50 kcal/mol of atoms
**Total DFT energy (no corrections)**: -6.98 eV per atom